LaSc2W | PBEsol | optimized geometry

Summary:
Formation energy from the elements: 0.43 eV/atom
E_tot: -7.657 eV/atom
Magnetic moment: 0.0000 μB per atom

Cell: 7.0227 7.0227 7.0227 Å, 90.00 90.00 90.00°
Last column: nearest neighbours and their distance in Å.
Space group F-43m (No. 216)
One atom of each set of equivalent atoms:
La  0.0000  0.0000  0.0000 (multiplicity 4)  4 W 3.04, 4 Sc 3.04
Sc  0.0000  0.0000  0.5000 (multiplicity 4)  4 W 3.04, 4 Sc 3.04
Sc  0.2500  0.2500  0.7500 (multiplicity 4)  4 La 3.04, 4 Sc 3.04
W  0.2500  0.2500  0.2500 (multiplicity 4)  4 Sc 3.04, 4 La 3.04

***

BeReHg2 | PBEsol | optimized geometry

Summary:
Formation energy from the elements: 0.47 eV/atom
E_tot: -4.145 eV/atom
Magnetic moment: 0.0002 μB per atom

Cell: 3.0166 3.0166 7.0760 Å, 90.00 90.00 90.00°
Last column: nearest neighbours and their distance in Å.
Space group P4mm (No. 99)
One atom of each set of equivalent atoms:
Be  0.0000  0.0000  0.0000 (multiplicity 1)  4 Re 2.34
Re  0.5000  0.5000  0.8624 (multiplicity 1)  4 Be 2.34
Hg  0.0000  0.0000  0.5819 (multiplicity 1)  4 Re 2.91, 1 Be 2.96, 8 Hg 3.02-3.11
Hg  0.5000  0.5000  0.2630 (multiplicity 1)  4 Be 2.83, 1 Re 2.83, 8 Hg 3.02-3.11

***

AsS2I | PBEsol | optimized geometry

Summary:
Formation energy (no corrections): 301 meV per atom
E_tot: -3.609 eV/atom
Magnetic moment: 0.0000 μB per atom

Cell: 7.1248 7.1248 7.6398 Å, 90.00 90.00 90.00°
Last column: nearest neighbours and their distance in Å.
Space group I-42d (No. 122)
One atom of each set of equivalent atoms:
As  0.0000  0.0000  0.0000 (multiplicity 4)  4 S 2.41
S  0.1841  0.7500  0.1250 (multiplicity 8)  2 As 2.41
I  0.0000  0.0000  0.5000 (multiplicity 4)  4 S 3.03

***

Ta4Al5 | PBEsol | optimized geometry

Summary:
Formation energy from the elements: -0.23 eV/atom
E_tot: -8.082 eV/atom
Magnetic moment: 0.0000 μB per atom

Cell: 8.8068 8.8068 3.7511 Å, 90.00 90.00 90.00°
Last column: nearest neighbours and their distance in Å.
Space group I4/mmm (No. 139)
One atom of each set of equivalent atoms:
Ta  0.0000  0.3212  0.0000 (multiplicity 8)  7 Al 2.74-2.90, 4 Ta 2.91
Al  0.0000  0.0000  0.0000 (multiplicity 2)  4 Ta 2.83, 8 Al 2.83
Al  0.1703  0.1703  0.5000 (multiplicity 8)  6 Al 2.73-3.00, 6 Ta 2.74-2.90

***

Sc2CuNi2 | PBEsol | optimized geometry

Summary:
Formation energy from the elements: -0.37 eV/atom
E_tot: -6.343 eV/atom
Magnetic moment: 0.0001 μB per atom

Cell: 6.5995 6.5995 3.4437 Å, 90.00 90.00 90.00°
Last column: nearest neighbours and their distance in Å.
Space group P4/mbm (No. 127)
One atom of each set of equivalent atoms:
Sc  0.1742  0.3258  0.0000 (multiplicity 4)  6 Ni 2.52-2.65
Cu  0.0000  0.0000  0.5000 (multiplicity 2)  4 Ni 2.59
Ni  0.1285  0.6285  0.5000 (multiplicity 4)  1 Ni 2.40, 6 Sc 2.52-2.65, 2 Cu 2.59

***

CaZrAs2Se | PBEsol | optimized geometry

Summary:
Formation energy (no corrections): 542 meV per atom
E_tot: -4.515 eV/atom
Magnetic moment: 0.0531 μB per atom
Offset from the most stable computed form: 1164 meV/atom

Cell: 5.0353 5.0353 5.0953 Å, 90.00 90.00 90.00°
Last column: nearest neighbours and their distance in Å.
Space group P4/mmm (No. 123)
One atom of each set of equivalent atoms:
Ca  0.0000  0.0000  0.0000 (multiplicity 1)  4 As 2.52, 2 Se 2.55
Zr  0.5000  0.5000  0.5000 (multiplicity 1)  4 Se 3.56, 8 As 3.58
As  0.0000  0.5000  0.0000 (multiplicity 2)  2 Ca 2.52
Se  0.0000  0.0000  0.5000 (multiplicity 1)  2 Ca 2.55